# HfNb2Si2, relaxed, DFT PBE
# - final energy (eV per atom) = -8.679
# - M_tot (μB per atom) = 0.00
data_HfNb2Si2
_symmetry_space_group_name_H-M 'I 4/m m m'
_symmetry_Int_Tables_number 139
_symmetry_space_group_name_Hall '-I 4 2'
_cell_length_a 3.918
_cell_length_b 3.918
_cell_length_c 11.447
_cell_angle_alpha 90.00
_cell_angle_beta 90.00
_cell_angle_gamma 90.00
loop_
_atom_site_label
_atom_site_type_symbol
_atom_site_fract_x
_atom_site_fract_y
_atom_site_fract_z
_atom_site_occupancy
Hf1 Hf 0.000 0.000 0.000 1
Nb1 Nb 0.000 0.500 0.250 1
Si1 Si 0.000 0.000 0.401 1